# 1
## BaAc2Ir (PBE)

Data for a relaxed structure of BaAc2Ir.

Cell: 4.3479 4.3479 23.0911 Å, 90.00 90.00 120.00°
Fractional coordinates of all 8 atoms:
Ba1 0.3333 0.6667 0.2500
Ba2 0.6667 0.3333 0.7500
Ac1 0.3333 0.6667 0.0689
Ac2 0.3333 0.6667 0.4311
Ac3 0.6667 0.3333 0.5689
Ac4 0.6667 0.3333 0.9311
Ir1 0.0000 0.0000 0.0000
Ir2 0.0000 0.0000 0.5000

Values from the calculation:
Polymorph energy (0 for the lowest one) = 101 meV per atom
Space-group type = No. 194
Crystal system = hexagonal
Energy relative to the elements = -1.4 eV/f.u.

# 2
## Ba2AcIr (PBE)

Data for a relaxed structure of Ba2AcIr.

Cell: 10.1417 10.1398 4.3312 Å, 77.69 77.64 24.66°
Fractional coordinates of all 4 atoms:
Ba1 0.1572 0.1572 0.8428
Ba2 0.8428 0.8428 0.1572
Ac1 0.5000 0.5000 0.5000
Ir1 0.0000 0.0000 0.0000

Values from the calculation:
Polymorph energy (0 for the lowest one) = 0 meV per atom
Space-group type = No. 69
Crystal system = orthorhombic
Energy relative to the elements = -1.3 eV/f.u.

# 3
## BaAc2Ir (PBE)

Data for a relaxed structure of BaAc2Ir.

Cell: 10.8160 10.8160 10.8160 Å, 23.56 23.56 23.56°
Fractional coordinates of all 4 atoms:
Ba1 0.0000 0.0000 0.0000
Ac1 0.5475 0.5475 0.5475
Ac2 0.7823 0.7823 0.7823
Ir1 0.1648 0.1648 0.1648

Values from the calculation:
Polymorph energy (0 for the lowest one) = 0 meV per atom
Space-group type = No. 160
Crystal system = trigonal
Energy relative to the elements = -1.8 eV/f.u.

# 4
## Ba3AcIr (PBE)

Data for a relaxed structure of Ba3AcIr.

Cell: 6.2081 6.2081 6.2081 Å, 90.00 90.00 90.00°
Fractional coordinates of all 5 atoms:
Ba1 0.0000 0.0000 0.5000
Ba2 0.0000 0.5000 0.0000
Ba3 0.5000 0.0000 0.0000
Ac1 0.5000 0.5000 0.5000
Ir1 0.0000 0.0000 0.0000

Values from the calculation:
Space-group type = No. 221
Crystal system = cubic
Energy relative to the elements = 0.5 eV/f.u.

# 5
## Ba7AcIr3 (PBE)

Data for a relaxed structure of Ba7AcIr3.

Cell: 8.7062 8.7062 10.7496 Å, 126.01 126.01 62.55°
Fractional coordinates of all 11 atoms:
Ba1 0.0000 0.0000 0.0000
Ba2 0.4502 0.9316 0.8385
Ba3 0.5028 0.5028 0.0063
Ba4 0.5075 0.9901 0.4894
Ba5 0.9316 0.4502 0.8385
Ba6 0.9358 0.9358 0.3252
Ba7 0.9901 0.5075 0.4894
Ac1 0.4565 0.4565 0.3344
Ir1 0.2249 0.7126 0.1699
Ir2 0.7126 0.2249 0.1699
Ir3 0.7138 0.7138 0.6574

Values from the calculation:
Space-group type = No. 8
Crystal system = monoclinic
Energy relative to the elements = -2.4 eV/f.u.

# 6
## BaAcIr4 (PBE)

Data for a relaxed structure of BaAcIr4.

Cell: 5.5908 5.5908 5.5908 Å, 60.00 60.00 60.00°
Fractional coordinates of all 6 atoms:
Ba1 0.0000 0.0000 0.0000
Ac1 0.7500 0.7500 0.7500
Ir1 0.3750 0.3750 0.3750
Ir2 0.3750 0.3750 0.8749
Ir3 0.3750 0.8749 0.3750
Ir4 0.8749 0.3750 0.3750

Values from the calculation:
Space-group type = No. 216
Crystal system = cubic
Energy relative to the elements = -1.8 eV/f.u.